Computed, not measured: an optimized crystal structure of NaNiBi2 at the PBE-GGA level of DFT.

Unit cell a=7.1418 b=7.1418 c=7.1418 alpha=90.00 beta=90.00 gamma=90.00
Space group Fm-3m (No. 225)
Inequivalent atoms, fractional coordinates:
1 Na 0.0000 0.0000 0.0000 (multiplicity 4)
2 Ni 0.0000 0.0000 0.5000 (multiplicity 4)
3 Bi 0.2500 0.2500 0.2500 (multiplicity 8)

Computed properties:
Electronic total energy = -58.15 eV/cell
Magnetization = 0.0 Bohr magnetons per cell
Calculated formation energy = 81 meV per atom
Polymorph energy (0 for the lowest one) = 195.0 meV/atom